No. 1
VASP calculation (PBE-GGA) on a relaxed TiGeCl crystal.

Summary:
magnetization: 0.00 μB/f.u.
density of states at the Fermi level: 0.587 states/eV per atom
formation energy from raw total energies: -0.7897 eV/atom

CIF file:
```
data_TiGeCl
_chemical_formula_sum 'Ti4 Ge4 Cl4'
_cell_length_a 9.6599
_cell_length_b 3.0743
_cell_length_c 9.8757
_cell_angle_alpha 90.00
_cell_angle_beta 110.30
_cell_angle_gamma 90.00
_symmetry_space_group_name_H-M 'C 1 2/m 1'
_symmetry_Int_Tables_number 12
loop_
_symmetry_equiv_pos_as_xyz
'x,y,z'
'-x,-y,-z'
'-x,y,-z'
'x,-y,z'
'x+1/2,y+1/2,z'
'-x+1/2,-y+1/2,-z'
'-x+1/2,y+1/2,-z'
'x+1/2,-y+1/2,z'
loop_
_atom_site_label
_atom_site_type_symbol
_atom_site_fract_x
_atom_site_fract_y
_atom_site_fract_z
Ti1 Ti 0.1934 0.0000 0.1409
Ge1 Ge 0.0508 0.5000 0.8964
Cl1 Cl 0.1913 0.0000 0.6657
```

=====

No. 2
VASP calculation (PBE-GGA) on a relaxed TiGe3Cl9 crystal.

Summary:
magnetization: 1.00 μB/f.u.
density of states at the Fermi level: 0.094 states/eV per atom
formation energy from raw total energies: -1.0079 eV/atom

CIF file:
```
data_TiGe3Cl9
_chemical_formula_sum 'Ti4 Ge12 Cl36'
_cell_length_a 19.3156
_cell_length_b 8.1027
_cell_length_c 11.1849
_cell_angle_alpha 90.00
_cell_angle_beta 112.11
_cell_angle_gamma 90.00
_symmetry_space_group_name_H-M 'C 1 c 1'
_symmetry_Int_Tables_number 9
loop_
_symmetry_equiv_pos_as_xyz
'x,y,z'
'x,-y,z+1/2'
'x+1/2,y+1/2,z'
'x+1/2,-y+1/2,z+1/2'
loop_
_atom_site_label
_atom_site_type_symbol
_atom_site_fract_x
_atom_site_fract_y
_atom_site_fract_z
Ti1 Ti 0.0000 0.2353 0.0000
Ge1 Ge 0.1562 0.4077 0.7445
Ge2 Ge 0.2408 0.0925 0.2237
Ge3 Ge 0.4067 0.4913 0.7074
Cl1 Cl 0.0022 0.2162 0.2239
Cl2 Cl 0.0876 0.4669 0.0332
Cl3 Cl 0.1083 0.0441 0.0694
Cl4 Cl 0.2168 0.3371 0.3394
Cl5 Cl 0.2509 0.3062 0.6880
Cl6 Cl 0.2782 0.2253 0.0797
Cl7 Cl 0.3988 0.0958 0.4432
Cl8 Cl 0.4250 0.4766 0.9367
Cl9 Cl 0.4958 0.2834 0.2753
```

=====

No. 3
VASP calculation (PBE-GGA) on a relaxed TiGe2Cl8 crystal.

Summary:
magnetization: 0.00 μB/f.u.
formation energy from raw total energies: -1.1002 eV/atom

CIF file:
```
data_TiGe2Cl8
_chemical_formula_sum 'Ti2 Ge4 Cl16'
_cell_length_a 13.0337
_cell_length_b 7.1165
_cell_length_c 7.4728
_cell_angle_alpha 90.00
_cell_angle_beta 94.94
_cell_angle_gamma 90.00
_symmetry_space_group_name_H-M 'C 1 2/m 1'
_symmetry_Int_Tables_number 12
loop_
_symmetry_equiv_pos_as_xyz
'x,y,z'
'-x,-y,-z'
'-x,y,-z'
'x,-y,z'
'x+1/2,y+1/2,z'
'-x+1/2,-y+1/2,-z'
'-x+1/2,y+1/2,-z'
'x+1/2,-y+1/2,z'
loop_
_atom_site_label
_atom_site_type_symbol
_atom_site_fract_x
_atom_site_fract_y
_atom_site_fract_z
Ti1 Ti 0.0000 0.0000 0.0000
Ge1 Ge 0.1309 0.0000 0.4443
Cl1 Cl 0.0619 0.2346 0.2173
Cl2 Cl 0.1566 0.0000 0.8857
Cl3 Cl 0.2048 0.5000 0.6165
```

=====

No. 4
VASP calculation (PBE-GGA) on a relaxed TiGeCl2 crystal.

Summary:
magnetization: 0.00 μB/f.u.
density of states at the Fermi level: 1.719 states/eV per atom
formation energy from raw total energies: -0.0242 eV/atom

CIF file:
```
data_TiGeCl2
_chemical_formula_sum 'Ti4 Ge4 Cl8'
_cell_length_a 6.2896
_cell_length_b 6.2896
_cell_length_c 10.8984
_cell_angle_alpha 90.00
_cell_angle_beta 90.00
_cell_angle_gamma 90.00
_symmetry_space_group_name_H-M 'I -4 2 d'
_symmetry_Int_Tables_number 122
_symmetry_space_group_name_Hall 'I -4 2bw'
loop_
_atom_site_label
_atom_site_type_symbol
_atom_site_fract_x
_atom_site_fract_y
_atom_site_fract_z
Ti1 Ti 0.0000 0.0000 0.0000
Ge1 Ge 0.0000 0.0000 0.5000
Cl1 Cl 0.1616 0.2500 0.1250
```